1.
First-principles (GGA-PBE) data for a relaxed structure of La3GeBr3, as listed in Alexandria.

Output
magnetic moment = 0.6 μB per formula unit
formation energy from raw total energies = -1.073 eV/atom
energy = -4.562 eV/atom

abc: 8.4985 8.4985 7.3724
angles: 90.76 90.76 111.82
Each line ends with the local moment (μB).
Atoms (fractional coordinates):
La (0.2048, 0.4810, 0.3164)  0.08
La (0.0704, 0.0704, 0.7437)  0.04
La (0.9296, 0.9296, 0.2563)  0.04
La (0.5190, 0.7952, 0.6836)  0.08
La (0.7952, 0.5190, 0.6836)  0.08
La (0.4810, 0.2048, 0.3164)  0.08
Ge (0.7972, 0.7972, 0.9007)  0.00
Ge (0.2028, 0.2028, 0.0993)  0.00
Br (0.7225, 0.2775, 0.0000)  0.00
Br (0.1756, 0.8244, 0.5000)  0.00
Br (0.2775, 0.7225, 0.0000)  0.00
Br (0.6133, 0.6133, 0.3429)  0.00
Br (0.3867, 0.3867, 0.6571)  0.00
Br (0.8244, 0.1756, 0.5000)  0.00

---

2.
First-principles (GGA-PBE) data for a relaxed structure of La3GeBr3, as listed in Alexandria.

Output
magnetic moment = 0.0 μB per formula unit
formation energy from raw total energies = -1.542 eV/atom
energy = -5.030 eV/atom

abc: 10.6784 10.6784 10.6784
angles: 109.47 109.47 109.47
Atoms (fractional coordinates):
La (0.5090, 0.4910, 0.7500)
La (0.7590, 0.7500, 0.2410)
La (0.2500, 0.2410, 0.2590)
La (0.5179, 0.2590, 0.0090)
La (0.5090, 0.0179, 0.2590)
La (0.9910, 0.7500, 0.0090)
La (0.7410, 0.4821, 0.4910)
La (0.7590, 0.0090, 0.0179)
La (0.9821, 0.4910, 0.2410)
La (0.9910, 0.2410, 0.4821)
La (0.7410, 0.2590, 0.7500)
La (0.2500, 0.0090, 0.4910)
Br (0.2534, 0.5069, 0.5034)
Br (0.2466, 0.9966, 0.9931)
Br (0.0034, 0.7534, 0.5069)
Br (0.0034, 0.2500, 0.9966)
Br (0.2466, 0.2500, 0.7534)
Br (0.4966, 0.9931, 0.7466)
Br (0.7500, 0.9966, 0.5034)
Br (0.2534, 0.7466, 0.2500)
Br (0.4966, 0.5034, 0.2500)
Br (0.4931, 0.7466, 0.9966)
Br (0.0069, 0.5034, 0.7534)
Br (0.7500, 0.7534, 0.7466)
Ge (0.5000, 0.2500, 0.5000)
Ge (0.7500, 0.5000, 0.0000)
Ge (0.0000, 0.0000, 0.2500)
Ge (0.7500, 0.2500, 0.2500)

---

3.
First-principles (GGA-PBE) data for a relaxed structure of La8Ge3Br4, as listed in Alexandria.

Output
magnetic moment = 0.0 μB per formula unit
formation energy from raw total energies = -1.017 eV/atom
energy = -5.015 eV/atom

abc: 8.6753 8.6753 9.4507
angles: 62.68 62.68 60.00
Atoms (fractional coordinates):
Br (0.0000, 0.0000, 0.0000)
Br (0.6423, 0.6423, 0.0732)
Br (0.3577, 0.3577, 0.9268)
Br (0.5000, 0.5000, 0.5000)
La (0.2198, 0.7456, 0.2890)
La (0.2544, 0.2544, 0.7110)
La (0.7456, 0.2198, 0.2890)
La (0.7660, 0.7660, 0.7021)
La (0.2340, 0.2340, 0.2979)
La (0.7802, 0.2544, 0.7110)
La (0.2544, 0.7802, 0.7110)
La (0.7456, 0.7456, 0.2890)
Ge (0.0000, 0.0000, 0.5000)
Ge (0.0000, 0.5000, 0.5000)
Ge (0.5000, 0.0000, 0.5000)

---

4.
First-principles (GGA-PBE) data for a relaxed structure of La3GeBr2, as listed in Alexandria.

Output
polymorph energy (0 for the lowest one) = 5 meV per atom
magnetic moment = 0.0 μB per formula unit
formation energy from raw total energies = -1.260 eV/atom
energy = -5.051 eV/atom

abc: 4.4646 6.1468 7.5333
angles: 114.08 107.24 90.00
Atoms (fractional coordinates):
La (0.8464, 0.3464, 0.1928)
La (0.5000, 0.0000, 0.5000)
La (0.1536, 0.6536, 0.8072)
Br (0.1680, 0.1680, 0.8360)
Br (0.8320, 0.8320, 0.1640)
Ge (0.5000, 0.5000, 0.5000)

---

5.
First-principles (GGA-PBE) data for a relaxed structure of LaGe2Br8, as listed in Alexandria.

Output
magnetic moment = 0.0 μB per formula unit
formation energy from raw total energies = -0.963 eV/atom
energy = -3.468 eV/atom

abc: 7.6287 8.2572 8.2572
angles: 79.73 77.51 77.51
Atoms (fractional coordinates):
La (0.0000, 0.0000, 0.0000)
Ge (0.3422, 0.1925, 0.1925)
Ge (0.6578, 0.8075, 0.8075)
Br (0.2092, 0.2795, 0.9159)
Br (0.2092, 0.9159, 0.2795)
Br (0.8435, 0.6198, 0.6198)
Br (0.7908, 0.0841, 0.7205)
Br (0.2958, 0.7932, 0.7932)
Br (0.1565, 0.3802, 0.3802)
Br (0.7042, 0.2068, 0.2068)
Br (0.7908, 0.7205, 0.0841)

---

6.
First-principles (GGA-PBE) data for a relaxed structure of La2Ge2Br, as listed in Alexandria.

Output
magnetic moment = 0.0 μB per formula unit
formation energy from raw total energies = -1.126 eV/atom
energy = -5.279 eV/atom

abc: 4.1051 8.3364 9.7274
angles: 115.38 102.18 90.00
Atoms (fractional coordinates):
La (0.3537, 0.8538, 0.7075)
La (0.3538, 0.3538, 0.7075)
La (0.6463, 0.1462, 0.2925)
La (0.6462, 0.6462, 0.2925)
Ge (0.7962, 0.0463, 0.5925)
Ge (0.2037, 0.4537, 0.4075)
Ge (0.7963, 0.5463, 0.5925)
Ge (0.2038, 0.9537, 0.4075)
Br (0.4996, 0.2500, 0.0000)
Br (0.5004, 0.7500, 0.0000)

---

7.
First-principles (GGA-PBE) data for a relaxed structure of La2GeBr3, as listed in Alexandria.

Output
magnetic moment = 0.0 μB per formula unit
formation energy from raw total energies = -1.513 eV/atom
energy = -4.761 eV/atom

abc: 4.7784 9.6433 10.5396
angles: 72.29 76.90 75.66
Atoms (fractional coordinates):
Br (0.7707, 0.8456, 0.6131)
Br (0.3312, 0.3341, 0.0035)
Br (0.6688, 0.6659, 0.9965)
Br (0.0430, 0.1442, 0.7698)
Br (0.2293, 0.1544, 0.3869)
Br (0.9570, 0.8558, 0.2302)
La (0.6131, 0.2027, 0.5710)
La (0.1341, 0.5286, 0.2032)
La (0.8659, 0.4714, 0.7968)
La (0.3869, 0.7973, 0.4290)
Ge (0.5606, 0.5015, 0.3773)
Ge (0.4394, 0.4985, 0.6227)

---

8.
First-principles (GGA-PBE) data for a relaxed structure of La5GeBr5, as listed in Alexandria.

Output
magnetic moment = 0.0 μB per formula unit
formation energy from raw total energies = -1.418 eV/atom
energy = -4.838 eV/atom

abc: 6.0994 7.4135 8.7481
angles: 106.69 90.00 114.29
Atoms (fractional coordinates):
La (0.1731, 0.3462, 0.8579)
La (0.8269, 0.6538, 0.1421)
La (0.1593, 0.3186, 0.3114)
La (0.5000, 0.0000, 0.0000)
La (0.8407, 0.6814, 0.6886)
Br (0.3406, 0.6813, 0.6529)
Br (0.3490, 0.6981, 0.1985)
Br (0.6594, 0.3187, 0.3471)
Br (0.0000, 0.0000, 0.5000)
Br (0.6510, 0.3019, 0.8015)
Ge (0.0000, 0.0000, 0.0000)

---

9.
First-principles (GGA-PBE) data for a relaxed structure of La2GeBr2, as listed in Alexandria.

Output
magnetic moment = 0.0 μB per formula unit
formation energy from raw total energies = -1.278 eV/atom
energy = -4.841 eV/atom

abc: 4.1957 7.7552 10.2905
angles: 90.00 90.00 105.69
Atoms (fractional coordinates):
La (0.0342, 0.0684, 0.8974)
La (0.9658, 0.9316, 0.3974)
La (0.7585, 0.5169, 0.6567)
La (0.2415, 0.4831, 0.1567)
Ge (0.3390, 0.6780, 0.4724)
Ge (0.6610, 0.3220, 0.9724)
Br (0.1015, 0.2029, 0.6273)
Br (0.3742, 0.7483, 0.8315)
Br (0.6258, 0.2517, 0.3315)
Br (0.8985, 0.7971, 0.1273)

---

10.
First-principles (GGA-PBE) data for a relaxed structure of La7GeBr12, as listed in Alexandria.

Output
magnetic moment = 0.0 μB per formula unit
formation energy from raw total energies = -1.747 eV/atom
energy = -4.706 eV/atom

abc: 9.6643 9.6643 9.6643
angles: 107.74 107.74 107.74
Atoms (fractional coordinates):
Br (0.1605, 0.3879, 0.4710)
Br (0.7734, 0.9211, 0.3098)
Br (0.8395, 0.6121, 0.5290)
Br (0.3098, 0.7734, 0.9211)
Br (0.0789, 0.6902, 0.2266)
Br (0.9211, 0.3098, 0.7734)
Br (0.6902, 0.2266, 0.0789)
Br (0.6121, 0.5290, 0.8395)
Br (0.5290, 0.8395, 0.6121)
Br (0.4710, 0.1605, 0.3879)
Br (0.2266, 0.0789, 0.6902)
Br (0.3879, 0.4710, 0.1605)
Ge (0.0000, 0.0000, 0.0000)
La (0.9658, 0.6701, 0.8870)
La (0.8870, 0.9658, 0.6701)
La (0.5000, 0.5000, 0.5000)
La (0.1130, 0.0342, 0.3299)
La (0.0342, 0.3299, 0.1130)
La (0.6701, 0.8870, 0.9658)
La (0.3299, 0.1130, 0.0342)

---

11.
First-principles (GGA-PBE) data for a relaxed structure of La3Ge2Br, as listed in Alexandria.

Output
magnetic moment = 1.4 μB per formula unit
formation energy from raw total energies = -0.752 eV/atom
energy = -5.034 eV/atom

abc: 4.6391 8.0053 9.9950
angles: 90.00 90.00 106.84
Each line ends with the local moment (μB).
Atoms (fractional coordinates):
Br (0.7777, 0.5554, 0.7500)  -0.01
Br (0.2223, 0.4446, 0.2500)  -0.01
La (0.8734, 0.7468, 0.2500)  -0.16
La (0.1266, 0.2532, 0.7500)  -0.16
La (0.3718, 0.7436, 0.9548)  -0.16
La (0.3718, 0.7436, 0.5452)  -0.16
La (0.6282, 0.2564, 0.4548)  -0.16
La (0.6282, 0.2564, 0.0452)  -0.16
Ge (0.4889, 0.9779, 0.2500)  0.01
Ge (0.0000, 0.0000, 0.5000)  0.02
Ge (0.0000, 0.0000, 0.0000)  0.02
Ge (0.5111, 0.0221, 0.7500)  0.01

---

12.
First-principles (GGA-PBE) data for a relaxed structure of LaGeBr, as listed in Alexandria.

Output
magnetic moment = 0.0 μB per formula unit
formation energy from raw total energies = -1.318 eV/atom
energy = -5.057 eV/atom

abc: 4.3414 4.4083 11.5935
angles: 79.63 79.21 60.50
Atoms (fractional coordinates):
La (0.4339, 0.4503, 0.6818)
La (0.5661, 0.5497, 0.3182)
Ge (0.8389, 0.8347, 0.4875)
Ge (0.1611, 0.1653, 0.5125)
Br (0.7090, 0.7393, 0.8427)
Br (0.2910, 0.2607, 0.1573)

---

13.
First-principles (GGA-PBE) data for a relaxed structure of La7Ge4Br4, as listed in Alexandria.

Output
magnetic moment = 1.0 μB per formula unit
formation energy from raw total energies = -1.098 eV/atom
energy = -5.075 eV/atom

abc: 7.4380 11.7890 11.7890
angles: 84.29 71.61 71.61
Each line ends with the local moment (μB).
Atoms (fractional coordinates):
Br (0.8869, 0.0000, 0.2262)  0.00
Br (0.8869, 0.2262, 0.0000)  0.00
Br (0.1131, 0.7738, 0.0000)  0.00
Br (0.6608, 0.8392, 0.8392)  0.00
Br (0.5000, 0.8392, 0.1608)  0.00
Br (0.1131, 0.0000, 0.7738)  0.00
Br (0.5000, 0.1608, 0.8392)  0.00
Br (0.3392, 0.1608, 0.1608)  0.00
La (0.5000, 0.3737, 0.6263)  0.13
La (0.7524, 0.0000, 0.0000)  0.01
La (0.2476, 0.0000, 0.0000)  0.01
La (0.8737, 0.6263, 0.6263)  0.13
La (0.7064, 0.5872, 0.0000)  0.00
La (0.7064, 0.0000, 0.5872)  0.00
La (0.0000, 0.7179, 0.2821)  0.05
La (0.2821, 0.7179, 0.7179)  0.05
La (0.1263, 0.3737, 0.3737)  0.13
La (0.7179, 0.2821, 0.2821)  0.05
La (0.2936, 0.4128, 0.0000)  0.00
La (0.2936, 0.0000, 0.4128)  0.00
La (0.0000, 0.2821, 0.7179)  0.05
La (0.5000, 0.6263, 0.3737)  0.13
Ge (0.8999, 0.5000, 0.2003)  -0.01
Ge (0.6001, 0.7997, 0.5000)  -0.01
Ge (0.3999, 0.5000, 0.2003)  -0.01
Ge (0.6001, 0.5000, 0.7997)  -0.01
Ge (0.8999, 0.2003, 0.5000)  -0.01
Ge (0.1001, 0.5000, 0.7997)  -0.01
Ge (0.3999, 0.2003, 0.5000)  -0.01
Ge (0.1001, 0.7997, 0.5000)  -0.01

---

14.
First-principles (GGA-PBE) data for a relaxed structure of La4Ge2Br3, as listed in Alexandria.

Output
magnetic moment = 0.0 μB per formula unit
formation energy from raw total energies = -1.397 eV/atom
energy = -5.171 eV/atom

abc: 4.4245 4.4245 17.9105
angles: 89.65 90.00 120.00
Atoms (fractional coordinates):
La (0.9950, 0.9901, 0.2982)
La (0.3353, 0.6706, 0.8875)
La (0.0050, 0.0099, 0.7018)
La (0.6647, 0.3294, 0.1125)
Br (0.6600, 0.3201, 0.3974)
Br (0.0000, 0.0000, 0.0000)
Br (0.3400, 0.6799, 0.6026)
Ge (0.3300, 0.6600, 0.2021)
Ge (0.6700, 0.3400, 0.7979)

---

15.
First-principles (GGA-PBE) data for a relaxed structure of La4GeBr4, as listed in Alexandria.

Output
magnetic moment = 0.0 μB per formula unit
formation energy from raw total energies = -1.477 eV/atom
energy = -4.924 eV/atom

abc: 4.3332 7.4163 9.7952
angles: 78.05 77.22 73.01
Atoms (fractional coordinates):
La (0.3081, 0.1026, 0.2811)
La (0.1013, 0.7172, 0.0802)
La (0.8987, 0.2828, 0.9198)
La (0.6919, 0.8974, 0.7189)
Br (0.3207, 0.5858, 0.7729)
Br (0.8997, 0.8034, 0.3971)
Br (0.6793, 0.4142, 0.2271)
Br (0.1003, 0.1966, 0.6029)
Ge (0.5000, 0.0000, 0.0000)

---

16.
First-principles (GGA-PBE) data for a relaxed structure of La8Ge5Br, as listed in Alexandria.

Output
magnetic moment = 0.0 μB per formula unit
formation energy from raw total energies = -0.886 eV/atom
energy = -5.470 eV/atom

abc: 8.0959 8.0959 8.0959
angles: 109.59 109.23 109.59
Atoms (fractional coordinates):
La (0.1216, 0.7581, 0.5056)
La (0.6338, 0.8996, 0.8820)
La (0.1180, 0.7518, 0.0176)
La (0.2658, 0.2482, 0.3662)
La (0.6365, 0.3840, 0.8784)
La (0.9824, 0.1004, 0.7342)
La (0.4944, 0.6160, 0.2525)
La (0.7475, 0.2419, 0.3635)
Ge (0.7498, 0.6244, 0.6296)
Ge (0.8745, 0.8797, 0.2502)
Ge (0.0052, 0.3756, 0.1255)
Ge (0.5000, 0.0000, 0.5000)
Ge (0.3704, 0.1203, 0.9948)
Br (0.2500, 0.5000, 0.7500)

---

17.
First-principles (GGA-PBE) data for a relaxed structure of La6GeBr8, as listed in Alexandria.

Output
magnetic moment = 0.0 μB per formula unit
formation energy from raw total energies = -1.603 eV/atom
energy = -4.774 eV/atom

abc: 7.4950 7.4950 11.6719
angles: 71.27 71.27 60.00
Atoms (fractional coordinates):
Br (0.6666, 0.6666, 0.0001)
Br (0.5590, 0.8912, 0.3262)
Br (0.1088, 0.7763, 0.6738)
Br (0.3334, 0.3334, 0.9999)
Br (0.8912, 0.2237, 0.3262)
Br (0.4410, 0.1088, 0.6738)
Br (0.7763, 0.4410, 0.6738)
Br (0.2237, 0.5590, 0.3262)
La (0.0521, 0.3760, 0.8434)
La (0.2715, 0.9479, 0.1566)
La (0.6240, 0.2715, 0.1566)
La (0.3760, 0.7285, 0.8434)
La (0.9479, 0.6240, 0.1566)
La (0.7285, 0.0521, 0.8434)
Ge (0.0000, 0.0000, 0.0000)

---

18.
First-principles (GGA-PBE) data for a relaxed structure of LaMgGeBr, as listed in Alexandria.

Output
magnetic moment = 0.0 μB per formula unit
formation energy from raw total energies = -1.102 eV/atom
energy = -4.305 eV/atom

abc: 4.4787 4.4787 14.3611
angles: 81.03 81.03 60.00
Atoms (fractional coordinates):
Ge (0.6222, 0.6222, 0.1334)
Ge (0.3778, 0.3778, 0.8666)
Mg (0.3112, 0.3112, 0.0663)
Mg (0.6888, 0.6888, 0.9337)
La (0.9174, 0.9174, 0.2477)
La (0.0826, 0.0826, 0.7523)
Br (0.2091, 0.2091, 0.3727)
Br (0.7909, 0.7909, 0.6273)

---

19.
First-principles (GGA-PBE) data for a relaxed structure of La6Ge2Br3N, as listed in Alexandria.

Output
magnetic moment = 0.0 μB per formula unit
formation energy from raw total energies = -1.268 eV/atom
energy = -5.613 eV/atom

abc: 7.2463 7.2463 7.9122
angles: 98.79 98.79 119.87
Atoms (fractional coordinates):
La (0.0663, 0.3674, 0.2007)
La (0.3674, 0.0663, 0.2007)
La (0.2320, 0.2320, 0.7957)
La (0.7680, 0.7680, 0.2043)
La (0.9337, 0.6326, 0.7993)
La (0.6326, 0.9337, 0.7993)
Ge (0.3344, 0.6656, 0.0000)
Ge (0.6656, 0.3344, 0.0000)
N (0.0000, 0.0000, 0.0000)
Br (0.8235, 0.1765, 0.5000)
Br (0.1765, 0.8235, 0.5000)
Br (0.5000, 0.5000, 0.5000)